DFT (PBE) results for a relaxed InSiP2Cl crystal.

Values from the calculation:
The value obtained for the uncorrected formation energy is 0.98 eV per atom. Its space-group type is P4/mmm (123).

Geometry as POSCAR:
```
InSiP2Cl
1.0
5.152 0.000 0.000
0.000 5.152 0.000
0.000 0.000 5.173
P Si Cl In
2 1 1 1
direct
0.000 0.500 0.000 P
0.500 0.000 0.000 P
0.500 0.500 0.500 Si
0.000 0.000 0.500 Cl
0.000 0.000 0.000 In
```


DFT (PBE) results for a relaxed InSnPCl2 crystal.

Values from the calculation:
The value obtained for the uncorrected formation energy is -0.17 eV per atom. Its space-group type is P4/mmm (123).

Geometry as POSCAR:
```
InSnPCl2
1.0
5.382 0.000 0.000
0.000 5.382 0.000
0.000 0.000 5.182
P Cl Sn In
1 2 1 1
direct
0.000 0.000 0.500 P
0.000 0.500 0.000 Cl
0.500 0.000 0.000 Cl
0.000 0.000 0.000 Sn
0.500 0.500 0.500 In
```


DFT (PBE) results for a relaxed InSnPCl2 crystal.

Values from the calculation:
The value obtained for the uncorrected formation energy is 0.23 eV per atom. Its space-group type is P4/mmm (123).

Geometry as POSCAR:
```
InSnPCl2
1.0
-3.701 2.967 -3.419
-4.388 -1.270 3.649
1.084 4.762 2.960
P Cl Sn In
1 2 1 1
direct
0.000 0.000 0.500 P
0.000 0.500 0.000 Cl
0.500 0.000 0.000 Cl
0.500 0.500 0.500 Sn
0.000 0.000 0.000 In
```


DFT (PBE) results for a relaxed SrInPCl2 crystal.

Values from the calculation:
The value obtained for the uncorrected formation energy is -0.83 eV per atom. Its space-group type is P4/mmm (123).

Geometry as POSCAR:
```
SrInPCl2
1.0
5.224 0.000 0.000
0.000 5.224 0.000
0.000 0.000 5.159
Sr Cl P In
1 2 1 1
direct
0.500 0.500 0.500 Sr
0.000 0.500 0.000 Cl
0.500 0.000 0.000 Cl
0.000 0.000 0.500 P
0.000 0.000 0.000 In
```


DFT (PBE) results for a relaxed SrInPCl2 crystal.

Values from the calculation:
The value obtained for the uncorrected formation energy is -0.70 eV per atom. Its space-group type is P4/mmm (123).

Geometry as POSCAR:
```
SrInPCl2
1.0
-2.694 4.568 -1.950
-4.945 -2.261 1.537
0.516 2.721 5.662
Sr Cl P In
1 2 1 1
direct
0.000 0.000 0.000 Sr
0.000 0.500 0.000 Cl
0.500 0.000 0.000 Cl
0.000 0.000 0.500 P
0.500 0.500 0.500 In
```


DFT (PBE) results for a relaxed TaInP2Cl crystal.

Values from the calculation:
The value obtained for the uncorrected formation energy is -0.10 eV per atom. Its space-group type is P4/mmm (123).

Geometry as POSCAR:
```
TaInP2Cl
1.0
4.858 0.000 0.000
0.000 4.858 0.000
0.000 0.000 5.037
Cl In P Ta
1 1 2 1
direct
0.000 0.000 0.500 Cl
0.500 0.500 0.500 In
0.000 0.500 0.000 P
0.500 0.000 0.000 P
0.000 0.000 0.000 Ta
```


We obtain DOS(E_F) values of 4.74, 2.99, 2.84, 3.53, 2.20, 3.07 states/eV/cell for the records listed above, in that order.
We obtain ρ values of 2.906, 3.710, 2.853, 3.589, 2.511, 5.492 g/cm3 for the records listed above, in that order.
We obtain energy relative to the lowest polymorph listed for this composition values of 695, 0, 394, 0, 132, 0 meV/atom for the records listed above, in that order.